Below is ZrP2Se6 after structural relaxation, with properties calculated at the PBE level.

Properties
**Raw total energy**: -134.33 eV/cell
**Energy relative to the elements, uncorrected**: -0.500 eV/atom

Lattice parameters (Å, degrees): 6.6450 6.6450 22.5170 90.00 90.00 120.00
Last column: nearest neighbours and their distance in Å.
Space group R3 (No. 146, hexagonal axes)
Inequivalent atoms, fractional coordinates:
Zr 0.0000 0.0000 0.0000 (multiplicity 3)  6 Se 2.70
P 0.0000 0.0000 0.2834 (multiplicity 3)  3 Se 2.22, 1 P 2.24
P 0.0000 0.0000 0.3828 (multiplicity 3)  3 Se 2.22, 1 P 2.24
Se 0.0083 0.3845 0.7458 (multiplicity 9)  1 P 2.22
Se 0.0089 0.6233 0.5872 (multiplicity 9)  1 P 2.22